DFT (PBE-GGA) results for a geometry-optimized In3AgPt structure.

a b c (Å): 5.195 5.195 5.195
angles (deg): 90.00 90.00 90.00
Element x y z (fractional)
In (0.000, 0.000, 0.500)
In (0.000, 0.500, 0.000)
Pt (0.000, 0.000, 0.000)
In (0.500, 0.000, 0.000)
Ag (0.500, 0.500, 0.500)

The energy of formation from the pure elements is -0.1 eV per formula unit.